(1)
Cu2ReHg: optimized geometry, PBE-GGA.

The value obtained for the density of states at the Fermi level is 0.55 states/eV/atom. The electronic total energy is -4.599 eV/atom. Its energy of formation from the pure elements is 637 meV per atom. The calculation puts the volume at 125.5 Å³/cell.

It has space group Immm (No. 71), with a = 2.719 Å, b = 4.916 Å, c = 9.390 Å, α = 90.00°, β = 90.00° and γ = 90.00°. The distinct sites, in fractional coordinates, are Cu at (0.000, 0.000, 0.240), Re at (0.000, 0.500, 0.500) and Hg at (0.000, 0.500, 0.000).

---

(2)
Cu2ReHg: optimized geometry, PBE-GGA.

The value obtained for the density of states at the Fermi level is 0.41 states/eV/atom. The electronic total energy is -4.723 eV/atom. Its energy of formation from the pure elements is 513 meV per atom. The calculation puts the volume at 119.8 Å³/cell.

It has space group Cmmm (No. 65), with a = 5.694 Å, b = 7.929 Å, c = 2.654 Å, α = 90.00°, β = 90.00° and γ = 90.00°. The distinct sites, in fractional coordinates, are Cu at (0.250, 0.250, 0.000), Re at (0.000, 0.000, 0.500) and Hg at (0.000, 0.500, 0.500).

---

(3)
CuReHg: optimized geometry, PBE-GGA.

The value obtained for the density of states at the Fermi level is 0.89 states/eV/atom. The electronic total energy is -4.233 eV/atom. Its energy of formation from the pure elements is 1382 meV per atom. The calculation puts the volume at 238.7 Å³/cell.

It has space group F-43m (No. 216), with a = 6.203 Å, b = 6.203 Å, c = 6.203 Å, α = 90.00°, β = 90.00° and γ = 90.00°. The distinct sites, in fractional coordinates, are Cu at (0.000, 0.000, 0.000), Re at (0.250, 0.250, 0.750) and Hg at (0.000, 0.000, 0.500).

---

(4)
Cu2ReHg: optimized geometry, PBE-GGA.

The value obtained for the density of states at the Fermi level is 0.90 states/eV/atom. The electronic total energy is -4.840 eV/atom. Its energy of formation from the pure elements is 396 meV per atom. The calculation puts the volume at 183.9 Å³/cell.

It has space group R-3m (No. 166, hexagonal axes), with a = 2.8017 Å, b = 2.8017 Å, c = 27.0509 Å, α = 90.00°, β = 90.00° and γ = 120.00°. The distinct sites, in fractional coordinates, are Cu at (0.0000, 0.0000, 0.2446), Re at (0.0000, 0.0000, 0.5000) and Hg at (0.0000, 0.0000, 0.0000).

---

Repeat the third record exactly.
CuReHg: optimized geometry, PBE-GGA.

The value obtained for the density of states at the Fermi level is 0.89 states/eV/atom. The electronic total energy is -4.233 eV/atom. Its energy of formation from the pure elements is 1382 meV per atom. The calculation puts the volume at 238.7 Å³/cell.

It has space group F-43m (No. 216), with a = 6.203 Å, b = 6.203 Å, c = 6.203 Å, α = 90.00°, β = 90.00° and γ = 90.00°. The distinct sites, in fractional coordinates, are Cu at (0.000, 0.000, 0.000), Re at (0.250, 0.250, 0.750) and Hg at (0.000, 0.000, 0.500).